Material: Ce6SeS8
Method: DFT, GGA-PBE
State: relaxed

Properties
Total DFT energy (no corrections) ... -101.018 eV/cell
V ... 381.94 Å³/cell
Total moment ... 6.02 μB per cell
Mass density ... 5114 kg/m3

Lattice parameters (Å, degrees): 8.410 8.410 8.410 56.03 56.03 56.03
Positions (direct):
Ce 0.082 0.758 0.422
Ce 0.242 0.578 0.918
Ce 0.422 0.082 0.758
Ce 0.578 0.918 0.242
Ce 0.758 0.422 0.082
Ce 0.918 0.242 0.578
Se 0.500 0.500 0.500
S 0.053 0.380 0.712
S 0.167 0.167 0.167
S 0.288 0.947 0.620
S 0.380 0.712 0.053
S 0.620 0.288 0.947
S 0.712 0.053 0.380
S 0.833 0.833 0.833
S 0.947 0.620 0.288



Material: Ce4SeS6
Method: DFT, GGA-PBE
State: relaxed

Properties
Total DFT energy (no corrections) ... -72.274 eV/cell
V ... 247.61 Å³/cell
Total moment ... 2.07 μB per cell
Mass density ... 5578 kg/m3
Offset from the most stable computed form ... 0 meV/atom

Lattice parameters (Å, degrees): 8.516 8.516 3.943 90.00 90.00 120.00
Positions (direct):
Ce 0.000 0.000 0.000
Ce 0.008 0.504 0.500
Ce 0.496 0.504 0.500
Ce 0.496 0.992 0.500
Se 0.667 0.333 0.000
S 0.207 0.414 0.000
S 0.207 0.793 0.000
S 0.271 0.135 0.500
S 0.586 0.793 0.000
S 0.865 0.135 0.500
S 0.865 0.729 0.500



Material: Ce2SeS
Method: DFT, GGA-PBE
State: relaxed

Properties
Total DFT energy (no corrections) ... -27.097 eV/cell
V ... 98.09 Å³/cell
Total moment ... 1.13 μB per cell
Mass density ... 6623 kg/m3
Offset from the most stable computed form ... 23 meV/atom

Lattice parameters (Å, degrees): 4.108 4.108 5.813 90.00 90.00 90.00
Positions (direct):
Ce 0.000 0.000 0.000
Ce 0.500 0.500 0.500
Se 0.000 0.000 0.500
S 0.500 0.500 0.000